1.
First-principles (PBE) data for a relaxed CaMoAs2Se crystal, as listed in Alexandria via LeMat-Bulk.

```
data_CaMoAs2Se
_chemical_formula_sum 'Ca1 Mo1 As2 Se1'
_space_group_name_H-M_alt 'P 1'
_space_group_IT_number 1
_cell_length_a 4.803
_cell_length_b 4.803
_cell_length_c 5.418
_cell_angle_alpha 90.00
_cell_angle_beta 90.00
_cell_angle_gamma 90.00
loop_
_space_group_symop_operation_xyz
'x,y,z'
loop_
_atom_site_label
_atom_site_type_symbol
_atom_site_fract_x
_atom_site_fract_y
_atom_site_fract_z
Ca1 Ca 0.000 0.000 0.000
Mo1 Mo 0.500 0.500 0.500
As1 As 0.000 0.500 0.500
As2 As 0.500 0.000 0.500
Se1 Se 0.500 0.500 0.000
```

crystal system = tetragonal
Fermi-level density of states = 0.5737 states/eV per atom
SG = P4/mmm, No. 123
DFT total energy = -5.379 eV per atom
total magnetization = 0.0 μB/f.u.
ΔE to the lowest computed polymorph = 0.000 eV per formula unit

2.
First-principles (PBE) data for a relaxed Ca2AsN crystal, as listed in Alexandria via LeMat-Bulk.

```
data_Ca2AsN
_chemical_formula_sum 'Ca8 As4 N4'
_space_group_name_H-M_alt 'P 1'
_space_group_IT_number 1
_cell_length_a 6.857
_cell_length_b 6.857
_cell_length_c 6.857
_cell_angle_alpha 90.00
_cell_angle_beta 90.00
_cell_angle_gamma 90.00
loop_
_space_group_symop_operation_xyz
'x,y,z'
loop_
_atom_site_label
_atom_site_type_symbol
_atom_site_fract_x
_atom_site_fract_y
_atom_site_fract_z
Ca1 Ca 0.250 0.250 0.250
Ca2 Ca 0.250 0.250 0.750
Ca3 Ca 0.250 0.750 0.250
Ca4 Ca 0.250 0.750 0.750
Ca5 Ca 0.750 0.250 0.250
Ca6 Ca 0.750 0.250 0.750
Ca7 Ca 0.750 0.750 0.250
Ca8 Ca 0.750 0.750 0.750
As1 As 0.000 0.000 0.000
As2 As 0.000 0.500 0.500
As3 As 0.500 0.000 0.500
As4 As 0.500 0.500 0.000
N1 N 0.000 0.000 0.500
N2 N 0.000 0.500 0.000
N3 N 0.500 0.000 0.000
N4 N 0.500 0.500 0.500
```

crystal system = cubic
Fermi-level density of states = 0.5245 states/eV per atom
SG = Fm-3m, No. 225
DFT total energy = -4.439 eV per atom
total magnetization = 1.8 μB/f.u.
ΔE to the lowest computed polymorph = 1.103 eV per formula unit

3.
First-principles (PBE) data for a relaxed Ca4AsN2 crystal, as listed in Alexandria via LeMat-Bulk.

```
data_Ca4AsN2
_chemical_formula_sum 'Ca8 As2 N4'
_space_group_name_H-M_alt 'P 1'
_space_group_IT_number 1
_cell_length_a 7.288
_cell_length_b 7.288
_cell_length_c 7.288
_cell_angle_alpha 109.50
_cell_angle_beta 109.50
_cell_angle_gamma 109.41
loop_
_space_group_symop_operation_xyz
'x,y,z'
loop_
_atom_site_label
_atom_site_type_symbol
_atom_site_fract_x
_atom_site_fract_y
_atom_site_fract_z
Ca1 Ca 0.225 0.295 0.570
Ca2 Ca 0.225 0.654 0.930
Ca3 Ca 0.295 0.225 0.070
Ca4 Ca 0.346 0.775 0.570
Ca5 Ca 0.654 0.225 0.430
Ca6 Ca 0.705 0.775 0.930
Ca7 Ca 0.775 0.346 0.070
Ca8 Ca 0.775 0.705 0.430
As1 As 0.125 0.875 0.250
As2 As 0.875 0.125 0.750
N1 N 0.000 0.500 0.500
N2 N 0.500 0.000 0.000
N3 N 0.500 0.500 0.000
N4 N 0.500 0.500 0.500
```

crystal system = tetragonal
Fermi-level density of states = 0.6959 states/eV per atom
SG = I4_1/amd, No. 141
DFT total energy = -4.959 eV per atom
total magnetization = 0.6 μB/f.u.
ΔE to the lowest computed polymorph = 0.000 eV per formula unit

4.
First-principles (PBE) data for a relaxed CaAs3N crystal, as listed in Alexandria via LeMat-Bulk.

```
data_CaAs3N
_chemical_formula_sum 'Ca1 As3 N1'
_space_group_name_H-M_alt 'P 1'
_space_group_IT_number 1
_cell_length_a 4.501
_cell_length_b 4.501
_cell_length_c 4.501
_cell_angle_alpha 90.00
_cell_angle_beta 90.00
_cell_angle_gamma 90.00
loop_
_space_group_symop_operation_xyz
'x,y,z'
loop_
_atom_site_label
_atom_site_type_symbol
_atom_site_fract_x
_atom_site_fract_y
_atom_site_fract_z
Ca1 Ca 0.000 0.000 0.000
As1 As 0.000 0.500 0.500
As2 As 0.500 0.000 0.500
As3 As 0.500 0.500 0.000
N1 N 0.500 0.500 0.500
```

crystal system = cubic
Fermi-level density of states = 0.8700 states/eV per atom
SG = Pm-3m, No. 221
DFT total energy = -4.618 eV per atom
total magnetization = 0.0 μB/f.u.
ΔE to the lowest computed polymorph = 0.000 eV per formula unit